[1]
# PBE-GGA HoO2, relaxed
data_HoO2
_chemical_formula_sum 'Ho2 O4'
_cell_length_a 4.189
_cell_length_b 3.631
_cell_length_c 6.177
_cell_angle_alpha 90.00
_cell_angle_beta 108.03
_cell_angle_gamma 90.00
_space_group_name_H-M_alt 'P 1 21/m 1'
_space_group_IT_number 11
loop_
_space_group_symop_operation_xyz
'x,y,z'
'-x,-y,-z'
'-x,y+1/2,-z'
'x,-y+1/2,z'
loop_
_atom_site_label
_atom_site_fract_x
_atom_site_fract_y
_atom_site_fract_z
Ho1 0.167 0.250 0.314
O1 0.181 0.750 0.056
O2 0.267 0.750 0.547
# Raw formation energy   -2.72 eV/atom


[2]
# PBE-GGA Sc2AlCo2Ni5, relaxed
data_Sc2AlCo2Ni5
_chemical_formula_sum 'Sc4 Al2 Co4 Ni10'
_cell_length_a 8.382
_cell_length_b 8.382
_cell_length_c 3.746
_cell_angle_alpha 90.00
_cell_angle_beta 90.00
_cell_angle_gamma 90.00
_space_group_name_H-M_alt 'P 4/m b m'
_space_group_IT_number 127
_space_group_name_Hall '-P 4 2ab'
loop_
_atom_site_label
_atom_site_fract_x
_atom_site_fract_y
_atom_site_fract_z
Sc1 0.170 0.330 0.000
Al1 0.000 0.000 0.000
Co1 0.129 0.629 0.000
Ni1 0.000 0.500 0.500
Ni2 0.068 0.796 0.500
# ΔE_f   -324 meV per atom


[3]
# PBE-GGA K4Nd3PtO8, relaxed
data_K4Nd3PtO8
_chemical_formula_sum 'K8 Nd6 Pt2 O16'
_cell_length_a 12.939
_cell_length_b 6.918
_cell_length_c 7.310
_cell_angle_alpha 90.00
_cell_angle_beta 119.07
_cell_angle_gamma 90.00
_space_group_name_H-M_alt 'C 1 2/m 1'
_space_group_IT_number 12
loop_
_space_group_symop_operation_xyz
'x,y,z'
'-x,-y,-z'
'-x,y,-z'
'x,-y,z'
'x+1/2,y+1/2,z'
'-x+1/2,-y+1/2,-z'
'-x+1/2,y+1/2,-z'
'x+1/2,-y+1/2,z'
loop_
_atom_site_label
_atom_site_fract_x
_atom_site_fract_y
_atom_site_fract_z
K1 0.000 0.000 0.000
K2 0.000 0.500 0.000
K3 0.250 0.250 0.000
Nd1 0.000 0.000 0.500
Nd2 0.250 0.250 0.500
Pt1 0.000 0.500 0.500
O1 0.029 0.284 0.335
O2 0.214 0.000 0.260
O3 0.214 0.000 0.689
# Raw formation energy   -2.09 eV/atom


[4]
# PBE-GGA Er2ThCu3, relaxed
data_Er2ThCu3
_chemical_formula_sum 'Er2 Th1 Cu3'
_cell_length_a 3.440
_cell_length_b 3.440
_cell_length_c 10.689
_cell_angle_alpha 90.00
_cell_angle_beta 90.00
_cell_angle_gamma 90.00
_space_group_name_H-M_alt 'P 4/m m m'
_space_group_IT_number 123
_space_group_name_Hall '-P 4 2'
loop_
_atom_site_label
_atom_site_fract_x
_atom_site_fract_y
_atom_site_fract_z
Er1 0.000 0.000 0.160
Th1 0.000 0.000 0.500
Cu1 0.500 0.500 0.000
Cu2 0.500 0.500 0.316
# ΔE_f   -202 meV per atom


[5]
# PBE-GGA MgZrTc2, relaxed
data_MgZrTc2
_chemical_formula_sum 'Mg2 Zr2 Tc4'
_cell_length_a 3.220
_cell_length_b 4.583
_cell_length_c 9.400
_cell_angle_alpha 90.00
_cell_angle_beta 90.00
_cell_angle_gamma 90.00
_space_group_name_H-M_alt 'I m m 2'
_space_group_IT_number 44
loop_
_space_group_symop_operation_xyz
'x,y,z'
'-x,-y,z'
'-x,y,z'
'x,-y,z'
'x+1/2,y+1/2,z+1/2'
'-x+1/2,-y+1/2,z+1/2'
'-x+1/2,y+1/2,z+1/2'
'x+1/2,-y+1/2,z+1/2'
loop_
_atom_site_label
_atom_site_fract_x
_atom_site_fract_y
_atom_site_fract_z
Mg1 0.000 0.000 0.000
Zr1 0.000 0.500 0.221
Tc1 0.000 0.000 0.468
Tc2 0.000 0.500 0.756
# ΔE_f   -27 meV per atom


[6]
# PBE-GGA IrRu2Rh, relaxed
data_IrRu2Rh
_chemical_formula_sum 'Ir1 Ru2 Rh1'
_cell_length_a 2.713
_cell_length_b 2.713
_cell_length_c 7.690
_cell_angle_alpha 90.00
_cell_angle_beta 90.00
_cell_angle_gamma 90.00
_space_group_name_H-M_alt 'P 4 m m'
_space_group_IT_number 99
loop_
_space_group_symop_operation_xyz
'x,y,z'
'-y,x,z'
'-x,-y,z'
'y,-x,z'
'-x,y,z'
'y,x,z'
'x,-y,z'
'-y,-x,z'
loop_
_atom_site_label
_atom_site_fract_x
_atom_site_fract_y
_atom_site_fract_z
Ir1 0.000 0.000 0.000
Ru1 0.000 0.000 0.506
Ru2 0.500 0.500 0.754
Rh1 0.500 0.500 0.259
# ΔE_f   28 meV per atom


[7]
# PBE-GGA La2C2N5, relaxed
data_La2C2N5
_chemical_formula_sum 'La8 C8 N20'
_cell_length_a 15.587
_cell_length_b 5.326
_cell_length_c 5.814
_cell_angle_alpha 90.00
_cell_angle_beta 90.00
_cell_angle_gamma 90.00
_space_group_name_H-M_alt 'I m a 2'
_space_group_IT_number 46
loop_
_space_group_symop_operation_xyz
'x,y,z'
'-x,-y,z'
'-x+1/2,y,z'
'x+1/2,-y,z'
'x+1/2,y+1/2,z+1/2'
'-x+1/2,-y+1/2,z+1/2'
'-x,y+1/2,z+1/2'
'x,-y+1/2,z+1/2'
loop_
_atom_site_label
_atom_site_fract_x
_atom_site_fract_y
_atom_site_fract_z
La1 0.130 0.021 0.000
C1 0.000 0.000 0.655
C2 0.250 0.512 0.988
N1 0.009 0.229 0.675
N2 0.174 0.588 0.076
N3 0.250 0.155 0.311
# Raw formation energy   -0.61 eV/atom


[8]
# PBE-GGA NbTcTe, relaxed
data_NbTcTe
_chemical_formula_sum 'Nb2 Tc2 Te2'
_cell_length_a 3.069
_cell_length_b 4.601
_cell_length_c 7.930
_cell_angle_alpha 90.00
_cell_angle_beta 90.00
_cell_angle_gamma 90.00
_space_group_name_H-M_alt 'A m m 2'
_space_group_IT_number 38
loop_
_space_group_symop_operation_xyz
'x,y,z'
'-x,-y,z'
'-x,y,z'
'x,-y,z'
'x,y+1/2,z+1/2'
'-x,-y+1/2,z+1/2'
'-x,y+1/2,z+1/2'
'x,-y+1/2,z+1/2'
loop_
_atom_site_label
_atom_site_fract_x
_atom_site_fract_y
_atom_site_fract_z
Nb1 0.000 0.000 0.000
Tc1 0.500 0.000 0.334
Te1 0.000 0.000 0.666
# Raw formation energy   0.37 eV/atom